1.
# CaZn2CdAg4, optimized geometry, DFT PBE-GGA
# calculated total energy	-2.196	eV per atom
# E_form	-0.087	eV per atom
data_CaZn2CdAg4
_space_group_name_H-M_alt 'R -3 m'
_space_group_IT_number 166
_space_group_name_Hall '-R 3 2"'
_cell_length_a 4.8146
_cell_length_b 4.8146
_cell_length_c 22.8668
_cell_angle_alpha 90.00
_cell_angle_beta 90.00
_cell_angle_gamma 120.00
loop_
_atom_site_label
_atom_site_fract_x
_atom_site_fract_y
_atom_site_fract_z
Ca1 0.0000 0.0000 0.0000
Zn1 0.0000 0.0000 0.2554
Cd1 0.0000 0.0000 0.5000
Ag1 0.0000 0.0000 0.1331
Ag2 0.0000 0.0000 0.3791



2.
# CaZnCd2Ag, optimized geometry, DFT PBE-GGA
# calculated total energy	-1.529	eV per atom
# E_form	0.063	eV per atom
data_CaZnCd2Ag
_space_group_name_H-M_alt 'P 4/m m m'
_space_group_IT_number 123
_space_group_name_Hall '-P 4 2'
_cell_length_a 5.240
_cell_length_b 5.240
_cell_length_c 4.936
_cell_angle_alpha 90.00
_cell_angle_beta 90.00
_cell_angle_gamma 90.00
loop_
_atom_site_label
_atom_site_fract_x
_atom_site_fract_y
_atom_site_fract_z
Ca1 0.000 0.000 0.000
Zn1 0.500 0.500 0.000
Cd1 0.000 0.500 0.500
Ag1 0.500 0.500 0.500



3.
# Ca2ZnCd6Ag, optimized geometry, DFT PBE-GGA
# calculated total energy	-1.467	eV per atom
# E_form	-0.105	eV per atom
data_Ca2ZnCd6Ag
_space_group_name_H-M_alt 'R -3 m'
_space_group_IT_number 166
_space_group_name_Hall '-R 3 2"'
_cell_length_a 7.0718
_cell_length_b 7.0718
_cell_length_c 35.3537
_cell_angle_alpha 90.00
_cell_angle_beta 90.00
_cell_angle_gamma 120.00
loop_
_atom_site_label
_atom_site_fract_x
_atom_site_fract_y
_atom_site_fract_z
Ca1 0.0000 0.0000 0.1080
Ca2 0.0000 0.0000 0.2820
Zn1 0.0000 0.0000 0.0000
Zn2 0.0000 0.0000 0.5000
Cd1 0.0470 0.5235 0.3005
Cd2 0.0626 0.5313 0.8655
Ag1 0.0000 0.0000 0.4267



4.
# Ca2Zn3CdAg4, optimized geometry, DFT PBE-GGA
# calculated total energy	-2.192	eV per atom
# E_form	-0.177	eV per atom
data_Ca2Zn3CdAg4
_space_group_name_H-M_alt 'P -4 m 2'
_space_group_IT_number 115
_space_group_name_Hall 'P -4 -2'
_cell_length_a 4.290
_cell_length_b 4.290
_cell_length_c 11.798
_cell_angle_alpha 90.00
_cell_angle_beta 90.00
_cell_angle_gamma 90.00
loop_
_atom_site_label
_atom_site_fract_x
_atom_site_fract_y
_atom_site_fract_z
Ca1 0.000 0.500 0.241
Zn1 0.000 0.500 0.868
Zn2 0.500 0.500 0.500
Cd1 0.000 0.000 0.500
Ag1 0.000 0.000 0.000
Ag2 0.000 0.500 0.652
Ag3 0.500 0.500 0.000



5.
# CaZn3CdAg, optimized geometry, DFT PBE-GGA
# calculated total energy	-1.639	eV per atom
# E_form	-0.041	eV per atom
data_CaZn3CdAg
_space_group_name_H-M_alt 'C m c m'
_space_group_IT_number 63
_space_group_name_Hall '-C 2c 2'
_cell_length_a 5.852
_cell_length_b 14.024
_cell_length_c 6.036
_cell_angle_alpha 90.00
_cell_angle_beta 90.00
_cell_angle_gamma 90.00
loop_
_atom_site_label
_atom_site_fract_x
_atom_site_fract_y
_atom_site_fract_z
Ca1 0.000 0.178 0.250
Zn1 0.000 0.384 0.750
Zn2 0.213 0.000 0.000
Cd1 0.000 0.388 0.250
Ag1 0.000 0.177 0.750



6.
# Ca4Zn2CdAg, optimized geometry, DFT PBE-GGA
# calculated total energy	-2.067	eV per atom
# E_form	-0.277	eV per atom
data_Ca4Zn2CdAg
_space_group_name_H-M_alt 'R -3 m'
_space_group_IT_number 166
_space_group_name_Hall '-R 3 2"'
_cell_length_a 5.2866
_cell_length_b 5.2866
_cell_length_c 25.7863
_cell_angle_alpha 90.00
_cell_angle_beta 90.00
_cell_angle_gamma 120.00
loop_
_atom_site_label
_atom_site_fract_x
_atom_site_fract_y
_atom_site_fract_z
Ca1 0.0000 0.0000 0.1230
Ca2 0.0000 0.0000 0.3733
Zn1 0.0000 0.0000 0.2469
Cd1 0.0000 0.0000 0.5000
Ag1 0.0000 0.0000 0.0000



7.
# Ca2Zn2CdAg5, optimized geometry, DFT PBE-GGA
# calculated total energy	-2.364	eV per atom
# E_form	-0.192	eV per atom
data_Ca2Zn2CdAg5
_space_group_name_H-M_alt 'P 4/m b m'
_space_group_IT_number 127
_space_group_name_Hall '-P 4 2ab'
_cell_length_a 10.160
_cell_length_b 10.160
_cell_length_c 4.030
_cell_angle_alpha 90.00
_cell_angle_beta 90.00
_cell_angle_gamma 90.00
loop_
_atom_site_label
_atom_site_fract_x
_atom_site_fract_y
_atom_site_fract_z
Ca1 0.177 0.323 0.000
Zn1 0.120 0.620 0.000
Cd1 0.000 0.000 0.000
Ag1 0.000 0.500 0.500
Ag2 0.061 0.794 0.500



8.
# Ca2ZnCd2Ag5, optimized geometry, DFT PBE-GGA
# calculated total energy	-2.258	eV per atom
# E_form	-0.121	eV per atom
data_Ca2ZnCd2Ag5
_space_group_name_H-M_alt 'P 4/m b m'
_space_group_IT_number 127
_space_group_name_Hall '-P 4 2ab'
_cell_length_a 10.530
_cell_length_b 10.530
_cell_length_c 3.996
_cell_angle_alpha 90.00
_cell_angle_beta 90.00
_cell_angle_gamma 90.00
loop_
_atom_site_label
_atom_site_fract_x
_atom_site_fract_y
_atom_site_fract_z
Ca1 0.172 0.328 0.000
Zn1 0.000 0.000 0.000
Cd1 0.128 0.628 0.000
Ag1 0.000 0.500 0.500
Ag2 0.053 0.813 0.500